A geometry-optimized Mn2SF structure. Source: the Alexandria database, functional GGA+U.

For the energy above the most stable polymorph in this dataset, the calculation gives 0.0 meV/atom. For the final energy, the calculation gives -24.73 eV per formula unit. The calculation puts the total magnetic moment at 38.33 μB/cell.

It has space group I-42d (No. 122), with a = 5.3218 Å, b = 5.3218 Å, c = 11.1826 Å, α = 90.00°, β = 90.00° and γ = 90.00°. The asymmetric unit holds Mn at (0.2198, 0.2500, 0.1250), S at (0.0000, 0.0000, 0.5000) and F at (0.0000, 0.0000, 0.0000).